Computed, not measured: a relaxed structure of KSr2Cd at the PBE level of DFT.

abc: 6.3353 6.3353 6.3353
angles: 60.00 60.00 60.00
Element x y z (fractional)
Cd  0.5000  0.5000  0.5000
K  0.7500  0.7500  0.7500
Sr  0.0000  0.0000  0.0000
Sr  0.2500  0.2500  0.2500

Calculated formation energy, meV per atom: 114